1.
A plane-wave DFT calculation with SCAN was carried out for Sr2Si3 at its PBEsol-relaxed geometry.

Cell and atoms, written as POSCAR:
```
Sr2Si3
1.0
3.840 0.000 0.000
0.000 4.652 0.000
-1.920 -2.326 7.440
Si Sr
3 2
direct
0.168 0.668 0.337
0.576 0.576 0.153
0.421 0.421 0.842
0.997 0.997 0.995
0.752 0.252 0.504
```

Raw formation energy: -1.70 eV per formula unit
Space-group type: Imm2 (44)
E above lowest polymorph: 0.00 eV/f.u.
VASP energy: -15.260 eV per atom
Volume: 26.6 Å³/atom

2.
A plane-wave DFT calculation with SCAN was carried out for ReBi3Mo at its PBEsol-relaxed geometry.

Cell and atoms, written as POSCAR:
```
ReBi3Mo
1.0
-2.253 2.372 -4.113
-4.118 1.290 2.999
2.363 4.509 1.306
Bi Re Mo
3 1 1
direct
0.000 0.000 0.500
0.500 0.000 0.000
0.000 0.500 0.000
0.500 0.500 0.500
0.000 0.000 0.000
```

Space-group type: Pm-3m (221)
VASP energy: -66.568 eV per atom
Volume: 29.0 Å³/atom

3.
A plane-wave DFT calculation with SCAN was carried out for Si2AgSb at its PBEsol-relaxed geometry.

Cell and atoms, written as POSCAR:
```
Si2AgSb
1.0
-2.779 -0.052 -1.294
-0.882 -2.436 -1.641
-4.678 -4.688 6.607
Si Ag Sb
2 1 1
direct
0.240 0.240 0.279
0.760 0.760 0.721
0.500 0.500 0.500
0.000 0.000 0.000
```

Raw formation energy: 2.58 eV per formula unit
Space-group type: R-3m (166)
VASP energy: -21.520 eV per atom
Volume: 18.7 Å³/atom

4.
A plane-wave DFT calculation with SCAN was carried out for Mo2IrAu at its PBEsol-relaxed geometry.

Cell and atoms, written as POSCAR:
```
Mo2IrAu
1.0
-0.787 2.152 1.523
-3.801 -2.925 -0.315
2.189 -1.959 3.899
Ir Mo Au
1 2 1
direct
0.257 0.514 0.774
0.997 0.994 0.983
0.746 0.493 0.250
0.500 0.000 0.493
```

Space-group type: Cm (8)
VASP energy: -52.480 eV per atom
Volume: 15.2 Å³/atom